DFT (PBE-GGA) results for an optimized crystal structure of DyHo4Er2Sc.

a b c (Å): 4.9361 4.9361 9.8598
angles (deg): 90.00 90.00 90.00
Last column: nearest neighbours and their distance in Å.
Space group P4/mmm (No. 123)
Asymmetric unit:
Dy 0.0000 0.0000 0.0000  4 Er 3.49, 8 Ho 3.52
Ho 0.0000 0.5000 0.2548  4 Er 3.45-3.52, 2 Sc 3.45, 4 Ho 3.49, 2 Dy 3.52
Er 0.0000 0.0000 0.5000  8 Ho 3.45, 4 Sc 3.49
Er 0.5000 0.5000 0.0000  4 Dy 3.49, 8 Ho 3.52
Sc 0.5000 0.5000 0.5000  8 Ho 3.45, 4 Er 3.49

**Fermi-level density of states**: 1.477 states/eV per atom
**Total magnetic moment**: 0.00 μB/cell
**E_tot**: -4.764 eV per atom

***

DFT (PBE-GGA) results for an optimized crystal structure of Dy2HoErSc5.

a b c (Å): 5.3151 18.4735 10.3136
angles (deg): 90.00 90.00 90.00
Last column: nearest neighbours and their distance in Å.
Space group Cmc2_1 (No. 36)
Asymmetric unit:
Dy 0.0000 0.1077 0.0000  6 Sc 3.15-3.48, 1 Ho 3.40
Dy 0.0000 0.1129 0.5903  9 Sc 3.22-3.44
Ho 0.0000 0.2074 0.2765  8 Sc 3.32-3.53, 2 Dy 3.40-3.68, 2 Er 3.55
Er 0.0000 0.4173 0.7279  5 Sc 2.94-3.05
Sc 0.0000 0.0209 0.2997  2 Er 2.99, 2 Dy 3.15-3.28
Sc 0.0000 0.2866 0.5658  1 Er 2.94, 1 Dy 3.22, 2 Sc 3.22
Sc 0.0000 0.2990 0.9775  3 Sc 3.22-3.33, 3 Dy 3.33-3.54, 3 Ho 3.37-3.52, 1 Er 3.38
Sc 0.0000 0.3984 0.2897  5 Sc 3.16-3.52, 4 Dy 3.37-3.43, 1 Er 3.46, 1 Ho 3.53
Sc 0.0000 0.4786 0.0021  2 Er 3.02-3.05, 5 Sc 3.16-3.38, 2 Dy 3.28

**Fermi-level density of states**: 1.761 states/eV per atom
**Total magnetic moment**: 0.00 μB/cell
**E_tot**: -5.391 eV per atom

***

DFT (PBE-GGA) results for an optimized crystal structure of Dy3Ho6Er2Sc.

a b c (Å): 6.0737 10.5084 11.6084
angles (deg): 90.00 100.01 90.00
Last column: nearest neighbours and their distance in Å.
Space group C2/m (No. 12)
Asymmetric unit:
Dy 0.0000 0.0000 0.0000  6 Dy 3.50, 6 Ho 3.53-3.54
Dy 0.0000 0.3335 0.0000  6 Dy 3.50-3.51, 6 Ho 3.53-3.54
Ho 0.2475 0.3344 0.7467  1 Sc 3.46, 2 Er 3.47-3.48, 6 Ho 3.48-3.52, 3 Dy 3.53-3.54
Ho 0.2494 0.5000 0.2531  1 Sc 3.47, 2 Er 3.48, 6 Ho 3.48-3.52, 3 Dy 3.53-3.54
Er 0.0000 0.1666 0.5000  6 Ho 3.47-3.48, 3 Er 3.50-3.51, 3 Sc 3.50-3.51
Sc 0.0000 0.5000 0.5000  6 Ho 3.46-3.47, 6 Er 3.50-3.51

**Fermi-level density of states**: 1.402 states/eV per atom
**Total magnetic moment**: 0.00 μB/cell
**E_tot**: -4.699 eV per atom

***

DFT (PBE-GGA) results for an optimized crystal structure of Dy3HoEr6Sc2.

a b c (Å): 6.0302 10.4325 11.5096
angles (deg): 90.00 100.03 90.00
Last column: nearest neighbours and their distance in Å.
Space group C2/m (No. 12)
Asymmetric unit:
Dy 0.0000 0.0000 0.0000  6 Dy 3.47-3.48, 6 Er 3.52-3.53
Dy 0.0000 0.3331 0.0000  6 Dy 3.47-3.48, 6 Er 3.52-3.53
Ho 0.0000 0.5000 0.5000  6 Er 3.43, 6 Sc 3.48
Er 0.2465 0.0000 0.7445  2 Sc 3.42, 1 Ho 3.43, 6 Er 3.47-3.50, 3 Dy 3.52-3.53
Er 0.2502 0.1677 0.2555  2 Sc 3.42, 1 Ho 3.43, 6 Er 3.47-3.50, 3 Dy 3.52-3.53
Sc 0.0000 0.1667 0.5000  6 Er 3.42, 3 Ho 3.48, 3 Sc 3.48

**Fermi-level density of states**: 1.480 states/eV per atom
**Total magnetic moment**: 0.00 μB/cell
**E_tot**: -4.832 eV per atom

***

DFT (PBE-GGA) results for an optimized crystal structure of DyHo6Er2Sc3.

a b c (Å): 6.0090 10.3980 11.4048
angles (deg): 90.00 100.09 90.00
Last column: nearest neighbours and their distance in Å.
Space group C2/m (No. 12)
Asymmetric unit:
Dy 0.0000 0.0000 0.0000  6 Er 3.47, 6 Ho 3.53
Ho 0.2472 0.0000 0.7415  3 Sc 3.37, 6 Ho 3.47, 1 Dy 3.53, 2 Er 3.53
Ho 0.2471 0.3333 0.7416  3 Sc 3.37, 6 Ho 3.47, 2 Er 3.52-3.53, 1 Dy 3.53
Er 0.0000 0.3334 0.0000  3 Er 3.47, 3 Dy 3.47, 6 Ho 3.52-3.53
Sc 0.0000 0.1668 0.5000  6 Ho 3.37, 6 Sc 3.46-3.47
Sc 0.0000 0.5000 0.5000  6 Ho 3.37, 6 Sc 3.46-3.47

**Fermi-level density of states**: 1.503 states/eV per atom
**Total magnetic moment**: 0.00 μB/cell
**E_tot**: -4.973 eV per atom

***

DFT (PBE-GGA) results for an optimized crystal structure of DyHo5ErSc2.

a b c (Å): 5.5538 21.2568 9.2794
angles (deg): 90.00 90.00 90.00
Last column: nearest neighbours and their distance in Å.
Space group Cmc2_1 (No. 36)
Asymmetric unit:
Dy 0.0000 0.1851 0.0000  2 Sc 3.12-3.23, 5 Ho 3.35-3.42, 2 Er 3.45
Ho 0.0000 0.0115 0.0046  1 Sc 3.18, 2 Er 3.44, 2 Ho 3.56
Ho 0.0000 0.2650 0.6833  1 Er 3.02, 1 Sc 3.23, 2 Ho 3.34
Ho 0.0000 0.3063 0.2986  5 Ho 3.34-3.68, 2 Dy 3.35, 3 Sc 3.40-3.64, 1 Er 3.43
Ho 0.0000 0.3917 0.9704  4 Sc 3.17-3.46, 3 Ho 3.22-3.55, 1 Er 3.47
Ho 0.0000 0.4687 0.2689  2 Er 3.18-3.36, 5 Ho 3.22-3.56, 2 Sc 3.35
Er 0.0000 0.4017 0.5967  3 Ho 3.02-3.36
Sc 0.0000 0.1133 0.6932  8 Ho 3.18-3.46, 1 Dy 3.23, 1 Sc 3.53
Sc 0.0000 0.1351 0.3165  1 Dy 3.12, 2 Ho 3.17

**Fermi-level density of states**: 1.539 states/eV per atom
**Total magnetic moment**: 0.00 μB/cell
**E_tot**: -4.801 eV per atom

***

DFT (PBE-GGA) results for an optimized crystal structure of DyHoEr2Sc.

a b c (Å): 8.1020 11.1149 7.0330
angles (deg): 90.00 90.00 90.00
Last column: nearest neighbours and their distance in Å.
Space group Cmcm (No. 63)
Asymmetric unit:
Dy 0.0000 0.2305 0.2500  1 Sc 2.99
Ho 0.0000 0.2300 0.7500  1 Sc 3.00
Er 0.1969 0.0000 0.0000  2 Sc 3.02, 1 Er 3.19
Sc 0.0000 0.4998 0.2500  1 Dy 2.99, 1 Ho 3.00, 4 Er 3.02

**Fermi-level density of states**: 1.262 states/eV per atom
**Total magnetic moment**: 0.00 μB/cell
**E_tot**: -4.573 eV per atom

***

DFT (PBE-GGA) results for an optimized crystal structure of DyHo6Er3Sc2.

a b c (Å): 6.0306 10.4324 11.5076
angles (deg): 90.00 100.02 90.00
Last column: nearest neighbours and their distance in Å.
Space group C2/m (No. 12)
Asymmetric unit:
Dy 0.0000 0.0000 0.0000  6 Ho 3.44, 6 Sc 3.48
Ho 0.2467 0.5000 0.2456  2 Sc 3.43, 1 Dy 3.44, 6 Ho 3.47-3.50, 3 Er 3.51-3.52
Ho 0.2501 0.1677 0.2457  2 Sc 3.43, 1 Dy 3.44, 6 Ho 3.47-3.50, 3 Er 3.50-3.52
Er 0.0000 0.1669 0.5000  6 Er 3.47-3.48, 6 Ho 3.50-3.52
Er 0.0000 0.5000 0.5000  6 Er 3.47-3.48, 6 Ho 3.51-3.52
Sc 0.0000 0.3333 0.0000  6 Ho 3.43, 3 Sc 3.48, 3 Dy 3.48

**Fermi-level density of states**: 1.467 states/eV per atom
**Total magnetic moment**: 0.00 μB/cell
**E_tot**: -4.832 eV per atom

***

DFT (PBE-GGA) results for an optimized crystal structure of Dy4HoErSc2.

a b c (Å): 4.9243 4.9243 9.6997
angles (deg): 90.00 90.00 90.00
Last column: nearest neighbours and their distance in Å.
Space group P4/mmm (No. 123)
Asymmetric unit:
Dy 0.0000 0.5000 0.2501  2 Er 3.45, 4 Sc 3.45-3.46, 2 Ho 3.46, 4 Dy 3.48
Ho 0.0000 0.0000 0.0000  8 Dy 3.46, 4 Sc 3.48
Er 0.5000 0.5000 0.5000  8 Dy 3.45, 4 Sc 3.48
Sc 0.0000 0.0000 0.5000  8 Dy 3.45, 4 Er 3.48
Sc 0.5000 0.5000 0.0000  8 Dy 3.46, 4 Ho 3.48

**Fermi-level density of states**: 1.531 states/eV per atom
**Total magnetic moment**: 0.00 μB/cell
**E_tot**: -4.985 eV per atom

***

DFT (PBE-GGA) results for an optimized crystal structure of Dy2Ho2ErSc2.

a b c (Å): 11.2334 3.4039 11.4673
angles (deg): 90.00 108.98 90.00
Last column: nearest neighbours and their distance in Å.
Space group C2/m (No. 12)
Asymmetric unit:
Dy 0.1706 0.0000 0.0874  4 Ho 3.38-3.50, 5 Dy 3.40-3.70, 2 Sc 3.49
Ho 0.0481 0.0000 0.7682  3 Sc 3.35-3.43, 4 Dy 3.38-3.50, 2 Er 3.40, 2 Ho 3.40
Er 0.0000 0.5000 0.5000  6 Sc 3.38-3.40, 4 Ho 3.40, 2 Er 3.40
Sc 0.2275 0.5000 0.3662  3 Ho 3.35-3.43, 3 Er 3.38-3.40, 4 Sc 3.40, 2 Dy 3.49

**Fermi-level density of states**: 1.783 states/eV per atom
**Total magnetic moment**: 0.00 μB/cell
**E_tot**: -4.976 eV per atom

***

DFT (PBE-GGA) results for an optimized crystal structure of DyHoEr5Sc2.

a b c (Å): 5.5385 21.2004 9.2636
angles (deg): 90.00 90.00 90.00
Last column: nearest neighbours and their distance in Å.
Space group Cmc2_1 (No. 36)
Asymmetric unit:
Dy 0.0000 0.1857 0.0000  2 Sc 3.13-3.23, 5 Er 3.34-3.41, 2 Ho 3.46
Ho 0.0000 0.4020 0.4026  3 Er 3.01-3.35
Er 0.0000 0.0110 0.9972  1 Sc 3.17, 2 Ho 3.44, 2 Er 3.54
Er 0.0000 0.2649 0.3173  1 Ho 3.01, 1 Sc 3.22, 2 Er 3.33
Er 0.0000 0.3066 0.7017  5 Er 3.33-3.67, 2 Dy 3.34, 3 Sc 3.39-3.61, 1 Ho 3.43
Er 0.0000 0.3916 0.0288  4 Sc 3.17-3.45, 3 Er 3.21-3.53, 1 Ho 3.47
Er 0.0000 0.4687 0.7309  2 Ho 3.17-3.35, 5 Er 3.21-3.54, 2 Sc 3.34
Sc 0.0000 0.1132 0.3065  8 Er 3.17-3.45, 1 Dy 3.23, 1 Sc 3.51
Sc 0.0000 0.1364 0.6820  1 Dy 3.13, 2 Er 3.17

**Fermi-level density of states**: 1.546 states/eV per atom
**Total magnetic moment**: 0.00 μB/cell
**E_tot**: -4.793 eV per atom

***

DFT (PBE-GGA) results for an optimized crystal structure of DyHo4ErSc2.

a b c (Å): 5.6902 5.6902 7.2906
angles (deg): 90.00 90.00 90.00
Last column: nearest neighbours and their distance in Å.
Space group P4/mmm (No. 123)
Asymmetric unit:
Dy 0.0000 0.0000 0.0000  8 Ho 3.38, 2 Sc 3.65
Ho 0.0000 0.5000 0.2512  2 Er 3.37, 4 Sc 3.37-3.38, 2 Dy 3.38, 2 Ho 3.63-3.66
Er 0.5000 0.5000 0.5000  8 Ho 3.37, 2 Sc 3.65
Sc 0.0000 0.0000 0.5000  8 Ho 3.37, 2 Dy 3.65
Sc 0.5000 0.5000 0.0000  8 Ho 3.38, 2 Er 3.65

**Fermi-level density of states**: 2.300 states/eV per atom
**Total magnetic moment**: 0.00 μB/cell
**E_tot**: -4.886 eV per atom

***

DFT (PBE-GGA) results for an optimized crystal structure of DyHo2ErSc5.

a b c (Å): 5.3130 18.4554 10.3160
angles (deg): 90.00 90.00 90.00
Last column: nearest neighbours and their distance in Å.
Space group Cmc2_1 (No. 36)
Asymmetric unit:
Dy 0.0000 0.2082 0.0000  8 Sc 3.32-3.53, 2 Ho 3.40-3.69, 2 Er 3.56
Ho 0.0000 0.1070 0.7249  6 Sc 3.14-3.47, 1 Dy 3.40
Ho 0.0000 0.1130 0.3147  9 Sc 3.22-3.44
Er 0.0000 0.4174 0.4517  5 Sc 2.94-3.05
Sc 0.0000 0.0213 0.0243  2 Er 2.98, 2 Ho 3.14-3.29
Sc 0.0000 0.2870 0.2888  1 Er 2.94, 2 Sc 3.22, 1 Ho 3.22
Sc 0.0000 0.2987 0.7008  3 Sc 3.22-3.32, 3 Ho 3.33-3.55, 3 Dy 3.37-3.51, 1 Er 3.38
Sc 0.0000 0.3991 0.0143  5 Sc 3.15-3.51, 4 Ho 3.37-3.43, 1 Er 3.45
Sc 0.0000 0.4783 0.7262  2 Er 3.02-3.05, 5 Sc 3.15-3.38, 2 Ho 3.27

**Fermi-level density of states**: 1.783 states/eV per atom
**Total magnetic moment**: 0.01 μB/cell
**E_tot**: -5.387 eV per atom

***

DFT (PBE-GGA) results for an optimized crystal structure of Dy5Ho2ErSc.

a b c (Å): 5.4969 19.8558 10.3150
angles (deg): 90.00 90.00 90.00
Last column: nearest neighbours and their distance in Å.
Space group Cmc2_1 (No. 36)
Asymmetric unit:
Dy 0.0000 0.0174 0.0000  2 Er 3.12-3.28, 2 Ho 3.40
Dy 0.0000 0.1236 0.2800  4 Ho 3.51-3.55, 6 Dy 3.58-3.92, 1 Sc 3.60
Dy 0.0000 0.1998 0.9644  1 Er 3.33, 4 Dy 3.35-3.64, 2 Sc 3.38, 3 Ho 3.44-3.71
Dy 0.0000 0.2247 0.5790  1 Er 2.99, 1 Ho 3.25, 2 Dy 3.35
Dy 0.0000 0.4830 0.2754  2 Er 3.18, 3 Ho 3.31-3.46, 1 Sc 3.53
Ho 0.0000 0.3860 0.9968  1 Sc 3.28, 6 Dy 3.46-3.62, 2 Er 3.59
Ho 0.0000 0.3886 0.5702  9 Dy 3.25-3.57, 1 Sc 3.47
Er 0.0000 0.0920 0.7168  6 Dy 2.99-3.33
Sc 0.0000 0.3051 0.2741  2 Ho 3.28-3.47, 7 Dy 3.38-3.60, 2 Er 3.48

**Fermi-level density of states**: 1.667 states/eV per atom
**Total magnetic moment**: 0.00 μB/cell
**E_tot**: -4.620 eV per atom

***

DFT (PBE-GGA) results for an optimized crystal structure of DyHo2Er6Sc.

a b c (Å): 8.9364 14.7008 9.3572
angles (deg): 90.00 97.54 90.00
Last column: nearest neighbours and their distance in Å.
Space group C2/c (No. 15)
Asymmetric unit:
Dy 0.0000 0.0219 0.2500  4 Ho 3.32-3.37, 4 Er 3.50-3.58
Ho 0.2479 0.4479 0.4531  5 Er 3.17-3.44, 2 Dy 3.32-3.37, 1 Sc 3.41
Er 0.0606 0.1879 0.9436  7 Er 3.36-3.64, 1 Ho 3.44, 1 Dy 3.58
Er 0.1014 0.3935 0.1167  3 Ho 3.17-3.34, 4 Er 3.20-3.43, 2 Sc 3.29-3.44
Er 0.2121 0.2214 0.3111  3 Er 3.20-3.56, 1 Ho 3.31, 1 Sc 3.35, 1 Dy 3.50
Sc 0.0000 0.4124 0.7500  6 Er 3.29-3.44, 2 Ho 3.41

**Fermi-level density of states**: 1.301 states/eV per atom
**Total magnetic moment**: 0.00 μB/cell
**E_tot**: -4.619 eV per atom

***

DFT (PBE-GGA) results for an optimized crystal structure of Dy6Ho2ErSc.

a b c (Å): 8.9904 14.7697 9.3993
angles (deg): 90.00 97.66 90.00
Last column: nearest neighbours and their distance in Å.
Space group C2/c (No. 15)
Asymmetric unit:
Dy 0.0608 0.1858 0.4450  7 Dy 3.38-3.68, 1 Ho 3.45, 1 Er 3.58
Dy 0.1009 0.3935 0.6171  3 Ho 3.18-3.36, 4 Dy 3.22-3.46, 2 Sc 3.30-3.46
Dy 0.2136 0.2208 0.8107  3 Dy 3.22-3.56, 1 Ho 3.33, 1 Sc 3.35, 1 Er 3.51
Ho 0.2486 0.4489 0.9536  5 Dy 3.18-3.45, 2 Er 3.33-3.37, 1 Sc 3.42
Er 0.0000 0.0222 0.7500  4 Ho 3.33-3.37, 4 Dy 3.51-3.58
Sc 0.0000 0.4127 0.2500  6 Dy 3.30-3.46, 2 Ho 3.42

**Fermi-level density of states**: 1.301 states/eV per atom
**Total magnetic moment**: 0.00 μB/cell
**E_tot**: -4.640 eV per atom

***

DFT (PBE-GGA) results for an optimized crystal structure of Dy2Ho6Er3Sc.

a b c (Å): 6.0654 10.4953 11.6037
angles (deg): 90.00 99.99 90.00
Last column: nearest neighbours and their distance in Å.
Space group C2/m (No. 12)
Asymmetric unit:
Dy 0.0000 0.1665 0.0000  6 Ho 3.49, 3 Dy 3.50, 3 Sc 3.50
Ho 0.2477 0.3345 0.2485  6 Ho 3.47-3.51, 1 Sc 3.48, 2 Dy 3.49, 3 Er 3.51-3.52
Ho 0.2489 0.5000 0.7512  6 Ho 3.48-3.51, 1 Sc 3.48, 2 Dy 3.49, 3 Er 3.51-3.52
Er 0.0000 0.0000 0.5000  6 Er 3.50, 6 Ho 3.51-3.52
Er 0.0000 0.3336 0.5000  6 Er 3.49-3.50, 6 Ho 3.51-3.52
Sc 0.0000 0.5000 0.0000  6 Ho 3.48, 6 Dy 3.50

**Fermi-level density of states**: 1.393 states/eV per atom
**Total magnetic moment**: 0.00 μB/cell
**E_tot**: -4.696 eV per atom

***

DFT (PBE-GGA) results for an optimized crystal structure of Dy6HoEr3Sc2.

a b c (Å): 6.0490 10.4655 11.5167
angles (deg): 90.00 100.05 90.00
Last column: nearest neighbours and their distance in Å.
Space group C2/m (No. 12)
Asymmetric unit:
Dy 0.2463 0.0000 0.2454  2 Sc 3.43, 1 Ho 3.44, 6 Dy 3.48-3.52, 3 Er 3.51-3.53
Dy 0.2502 0.1678 0.7546  2 Sc 3.43, 1 Ho 3.44, 6 Dy 3.48-3.52, 3 Er 3.51-3.52
Ho 0.0000 0.5000 0.0000  6 Dy 3.44, 6 Sc 3.49
Er 0.0000 0.0000 0.5000  6 Er 3.49, 6 Dy 3.51-3.52
Er 0.0000 0.3332 0.5000  6 Er 3.49, 6 Dy 3.51-3.53
Sc 0.0000 0.1667 0.0000  6 Dy 3.43, 3 Ho 3.49, 3 Sc 3.49

**Fermi-level density of states**: 1.430 states/eV per atom
**Total magnetic moment**: 0.00 μB/cell
**E_tot**: -4.842 eV per atom

***

DFT (PBE-GGA) results for an optimized crystal structure of Dy2Ho6ErSc.

a b c (Å): 8.9577 14.7390 9.4007
angles (deg): 90.00 97.83 90.00
Last column: nearest neighbours and their distance in Å.
Space group C2/c (No. 15)
Asymmetric unit:
Dy 0.2489 0.0515 0.4538  5 Ho 3.17-3.45, 2 Er 3.33-3.36, 1 Sc 3.42
Ho 0.0610 0.3127 0.9442  7 Ho 3.37-3.67, 1 Dy 3.45, 1 Er 3.58
Ho 0.1015 0.1061 0.1171  3 Dy 3.17-3.36, 4 Ho 3.21-3.45, 2 Sc 3.30-3.46
Ho 0.2120 0.2791 0.3106  3 Ho 3.21-3.56, 1 Dy 3.32, 1 Sc 3.35, 1 Er 3.50
Er 0.0000 0.4786 0.2500  4 Dy 3.33-3.36, 4 Ho 3.50-3.58
Sc 0.0000 0.0879 0.7500  6 Ho 3.30-3.46, 2 Dy 3.42

**Fermi-level density of states**: 1.270 states/eV per atom
**Total magnetic moment**: 0.00 μB/cell
**E_tot**: -4.631 eV per atom